Entry from Alexandria via LeMat-Bulk: a geometry-optimized BaLaOF2 structure (PBE).

The value obtained for the energy relative to the elements, uncorrected is -2.2689 eV/atom. As for the energy above the most stable polymorph in this dataset: 3.789 eV per formula unit.

It has space group P4/mmm (No. 123), with a = 4.8535 Å, b = 4.8535 Å, c = 5.1686 Å, α = 90.00°, β = 90.00° and γ = 90.00°. Symmetry generates all atoms from Ba at (0.0000, 0.0000, 0.0000), La at (0.5000, 0.5000, 0.5000), O at (0.0000, 0.0000, 0.5000) and F at (0.0000, 0.5000, 0.0000).